1.
DFT (GGA-PBE) results for PRu4Br after structural relaxation.

total DFT energy (no corrections) = -37.11 eV per cell

POSCAR file:
```
PRu4Br
1.0
0.0000 3.6833 3.6833
3.6833 0.0000 3.6833
3.6833 3.6833 0.0000
P Ru Br
1 4 1
Cartesian
0.0000 0.0000 0.0000
4.6080 2.7586 2.7586
2.7586 4.6080 2.7586
2.7586 2.7586 4.6080
4.6080 4.6080 4.6080
1.8417 1.8417 1.8417
```

=====

2.
DFT (GGA-PBE) results for BIr2Pt after structural relaxation.

energy of formation from the pure elements = 0.1061 eV per atom

POSCAR file:
```
BIr2Pt
1.0
1.6693 0.9638 5.7923
-1.6693 0.9638 5.7923
0.0000 -1.9275 5.7923
B Ir Pt
1 2 1
Cartesian
0.0000 0.0000 0.0000
0.0000 0.0000 6.7995
0.0000 0.0000 10.6469
0.0000 0.0000 14.5663
```

=====

3.
DFT (GGA-PBE) results for ZnGe2SbO8 after structural relaxation.

total DFT energy (no corrections) = -68.15 eV per cell

POSCAR file:
```
ZnGe2SbO8
1.0
-3.2676 3.2676 3.2234
3.2676 -3.2676 3.2234
3.2676 3.2676 -3.2234
Zn Ge Sb O
1 2 1 8
Cartesian
0.0000 0.0000 0.0000
3.2676 0.0000 1.6117
0.0000 0.0000 3.2234
0.0000 3.2676 1.6117
2.0421 0.0000 0.3200
4.4931 0.0000 0.3200
3.2676 1.9845 -1.2087
3.2676 -1.2255 2.9034
0.0000 1.2831 2.0146
3.2676 1.2255 2.9034
1.9845 3.2676 1.2087
1.2831 0.0000 4.4321
```

=====

4.
DFT (GGA-PBE) results for ZrTe2Ru after structural relaxation.

E above lowest polymorph = 30.84 kJ/mol of atoms

POSCAR file:
```
ZrTe2Ru
1.0
4.5943 0.0000 0.0000
0.0000 3.4956 0.0000
-2.1729 0.0000 5.3257
Zr Te Ru
1 2 1
Cartesian
0.0000 0.0000 0.0000
-1.0865 0.0000 2.6628
2.2972 1.7478 0.0000
1.2107 1.7478 2.6628
```